Material: La6Tl3Co
Method: DFT, PBE
State: relaxed

```
data_La6Tl3Co
_symmetry_space_group_name_H-M 'P 1 21/c 1'
_symmetry_Int_Tables_number 14
_symmetry_space_group_name_Hall '-P 2ybc'
_cell_length_a 5.760
_cell_length_b 9.481
_cell_length_c 12.595
_cell_angle_alpha 90.00
_cell_angle_beta 115.10
_cell_angle_gamma 90.00
loop_
_atom_site_label
_atom_site_fract_x
_atom_site_fract_y
_atom_site_fract_z
La1 0.024 0.151 0.057
La2 0.317 0.507 0.279
La3 0.440 0.187 0.451
Tl1 0.000 0.000 0.500
Tl2 0.213 0.655 0.752
Co1 0.500 0.000 0.000
```

Properties
The value obtained for the formation energy is -258 kJ/mol of formula units. For the relative energy among the computed polymorphs, the calculation gives 0.0 kJ/mol of atoms. The value obtained for the total DFT energy (no corrections) is -4.645 eV/atom.